Record 1
Compound: TeSeBr2O
Source: Alexandria via LeMat-Bulk
Functional: PBE
Structure: relaxed

a b c (Å): 5.473 5.473 5.444
angles (deg): 90.00 90.00 90.00
Space group P4/mmm (No. 123)
Unique sites:
Te 0.000 0.000 0.000 [1 per cell]
Se 0.000 0.000 0.500 [1 per cell]
Br 0.000 0.500 0.000 [2 per cell]
O 0.500 0.500 0.500 [1 per cell]

Output
Electronic total energy = -2.106 eV per atom
Uncorrected formation energy = 880 meV/atom

Record 2
Compound: TeSeBr2O
Source: Alexandria via LeMat-Bulk
Functional: PBE
Structure: relaxed

a b c (Å): 4.830 4.830 4.593
angles (deg): 90.00 90.00 90.00
Space group P4/mmm (No. 123)
Unique sites:
Te 0.000 0.000 0.000 [1 per cell]
Se 0.500 0.500 0.000 [1 per cell]
Br 0.000 0.500 0.500 [2 per cell]
O 0.500 0.500 0.500 [1 per cell]

Output
Electronic total energy = -2.412 eV per atom
Uncorrected formation energy = 574 meV/atom

Record 3
Compound: TlSe2BrO
Source: Alexandria via LeMat-Bulk
Functional: PBE
Structure: relaxed

a b c (Å): 4.281 4.281 7.187
angles (deg): 90.00 90.00 90.00
Space group P4/mmm (No. 123)
Unique sites:
Tl 0.000 0.000 0.000 [1 per cell]
Se 0.000 0.500 0.500 [2 per cell]
Br 0.500 0.500 0.000 [1 per cell]
O 0.500 0.500 0.500 [1 per cell]

Output
Electronic total energy = -3.142 eV per atom
Uncorrected formation energy = 52 meV/atom

Record 4
Compound: TlSe2BrO
Source: Alexandria via LeMat-Bulk
Functional: PBE
Structure: relaxed

a b c (Å): 5.572 5.572 5.627
angles (deg): 90.00 90.00 90.00
Space group P4/mmm (No. 123)
Unique sites:
Tl 0.000 0.000 0.000 [1 per cell]
Se 0.000 0.500 0.000 [2 per cell]
Br 0.000 0.000 0.500 [1 per cell]
O 0.500 0.500 0.500 [1 per cell]

Output
Electronic total energy = -2.121 eV per atom
Uncorrected formation energy = 1072 meV/atom

Record 5
Compound: TmSeBrO4
Source: Alexandria via LeMat-Bulk
Functional: PBE
Structure: relaxed

a b c (Å): 10.164 7.042 6.676
angles (deg): 90.00 104.40 90.00
Space group C2/m (No. 12)
Unique sites:
Tm 0.230 0.000 0.128 [4 per cell]
Se 0.136 0.500 0.268 [4 per cell]
Br 0.017 0.000 0.757 [4 per cell]
O 0.030 0.500 0.767 [4 per cell]
O 0.191 0.321 0.138 [8 per cell]
O 0.216 0.500 0.515 [4 per cell]

Output
Electronic total energy = -5.805 eV per atom
Uncorrected formation energy = -1596 meV/atom

Record 6
Compound: USeBrO
Source: Alexandria via LeMat-Bulk
Functional: PBE
Structure: relaxed

a b c (Å): 6.606 3.814 8.005
angles (deg): 90.00 106.08 90.00
Space group Cm (No. 8)
Unique sites:
U 0.000 0.000 0.000 [2 per cell]
Se 0.248 0.500 0.244 [2 per cell]
Br 0.070 0.500 0.713 [2 per cell]
O 0.326 0.000 0.977 [2 per cell]

Output
Electronic total energy = -7.176 eV per atom
Uncorrected formation energy = -1825 meV/atom

Record 7
Compound: USeBr2O6
Source: Alexandria via LeMat-Bulk
Functional: PBE
Structure: relaxed

a b c (Å): 5.044 6.119 7.223
angles (deg): 114.72 108.85 90.83
Space group P-1 (No. 2)
Unique sites:
U 0.000 0.000 0.000 [1 per cell]
Se 0.500 0.500 0.000 [1 per cell]
Br 0.330 0.816 0.633 [2 per cell]
O 0.148 0.158 0.316 [2 per cell]
O 0.242 0.683 0.999 [2 per cell]
O 0.270 0.278 0.998 [2 per cell]

Output
Electronic total energy = -5.679 eV per atom
Uncorrected formation energy = -892 meV/atom